[1]
{"formula": "La4OsRhBr2", "functional": "GGA-PBE", "state": "relaxed", "sg": "No. 10", "lattice": [[-2.421, -3.366, -0.648], [3.310, -1.161, -6.333], [4.252, -4.166, 5.753]], "species": ["La", "La", "La", "Br", "La", "Br", "Rh", "Os"], "fractional_positions": [[0.500, 0.762, 0.805], [0.500, 0.238, 0.195], [0.000, 0.273, 0.803], [0.500, 0.000, 0.500], [0.000, 0.727, 0.197], [0.000, 0.500, 0.500], [0.000, 0.000, 0.000], [0.500, 0.500, 0.000]]}


[2]
{"formula": "NdUSi", "functional": "GGA-PBE", "state": "relaxed", "sg": "No. 2", "lattice": [[5.042, -0.176, 0.032], [2.432, 2.396, -0.276], [2.570, -1.236, 11.801]], "species": ["U", "Nd", "Nd", "U", "Si", "Si"], "fractional_positions": [[0.803, 0.517, 0.948], [0.470, 0.784, 0.279], [0.530, 0.216, 0.721], [0.197, 0.483, 0.052], [0.240, 0.510, 0.510], [0.760, 0.490, 0.490]]}


[3]
{"formula": "AcY4Ho2", "functional": "GGA-PBE", "state": "relaxed", "e_form_ev_per_atom": 0.04, "polymorph_energy_ev_per_atom": 0.000, "sg": "No. 1", "lattice": [[7.798, -0.157, 2.155], [-0.983, 11.234, -1.784], [-1.751, -7.335, 5.877]], "species": ["Y", "Y", "Y", "Y", "Y", "Ho", "Ho", "Ho", "Y", "Ac", "Y", "Y", "Ac", "Ho"], "fractional_positions": [[0.835, 0.915, 0.011], [0.419, 0.770, 0.721], [0.907, 0.768, 0.210], [0.760, 0.052, 0.780], [0.552, 0.481, 0.134], [0.124, 0.336, 0.847], [0.626, 0.340, 0.366], [0.696, 0.196, 0.570], [0.273, 0.055, 0.292], [0.204, 0.199, 0.075], [0.342, 0.906, 0.487], [0.054, 0.485, 0.653], [0.975, 0.621, 0.423], [0.483, 0.625, 0.929]]}


Number 1: volume 240.5 Å³/cell, calculated total energy -6.23 eV/atom. Number 2: volume 145.7 Å³/cell, calculated total energy -7.11 eV/atom. Number 3: volume 469.4 Å³/cell, calculated total energy -5.55 eV/atom.